# TaAlCu2

TaAlCu2 after structural relaxation (PBE, Alexandria).

- ΔE_f (kJ/mol of formula units) = 10
- crystal system = monoclinic
- total magnetic moment (Bohr magnetons per cell) = 0.000

Cell lengths 4.5085, 4.5085, 4.9992 Å; angles 81.70, 81.70, 35.94 degrees
Element x y z (fractional)
Al 0.2500 0.2500 0.2500
Cu 0.5035 0.5035 0.4894
Cu 0.9965 0.9965 0.0106
Ta 0.7500 0.7500 0.7500